Record 1
Ce2ThTe4 PBE relaxed; M_tot = 5.5 μB per cell; E above lowest polymorph = 74 meV per atom; crystal system = orthorhombic; space group = Cmcm (63); DFT total energy = -5.766 eV/atom; E_form (uncorrected) = -1.22 eV/atom; N(E_F) = 32.76 states/eV per cell; calculated density = 7.0 g/cm³
1.0
-3.942 -1.694 -0.605
4.978 -4.902 -3.196
1.172 -7.468 13.278
Te Th Ce
8 2 4
Direct
0.500 0.000 0.000
0.220 0.439 0.872
0.965 0.930 0.750
0.500 0.000 0.500
0.780 0.561 0.372
0.780 0.561 0.128
0.035 0.070 0.250
0.220 0.439 0.628
0.623 0.246 0.750
0.377 0.754 0.250
0.862 0.724 0.566
0.138 0.276 0.434
0.138 0.276 0.066
0.862 0.724 0.934

***

Record 2
Ce2Y3ThTe6 PBE relaxed; M_tot = 2.5 μB per cell; crystal system = monoclinic; space group = C2/m (12); DFT total energy = -6.077 eV/atom; E_form (uncorrected) = -1.28 eV/atom; N(E_F) = 18.07 states/eV per cell; calculated density = 7.0 g/cm³
1.0
4.356 0.000 0.000
0.000 8.989 0.116
-2.178 -2.803 9.342
Te Y Ce Th
6 3 2 1
Direct
0.997 0.257 0.994
0.330 0.924 0.661
0.003 0.743 0.006
0.335 0.412 0.670
0.665 0.588 0.330
0.670 0.076 0.339
0.834 0.168 0.668
0.500 0.500 0.000
0.166 0.832 0.332
0.835 0.671 0.671
0.165 0.329 0.329
0.500 0.000 0.000

***

Record 3
Ce3YTh2Te6 PBE relaxed; M_tot = 3.3 μB per cell; crystal system = monoclinic; space group = C2/m (12); DFT total energy = -6.071 eV/atom; E_form (uncorrected) = -1.24 eV/atom; N(E_F) = 23.96 states/eV per cell; calculated density = 7.7 g/cm³
1.0
7.707 0.015 0.006
-3.838 6.683 0.006
-1.285 -2.226 7.284
Te Th Ce Y
6 2 3 1
Direct
0.407 0.081 0.246
0.919 0.593 0.754
0.593 0.919 0.754
0.081 0.407 0.246
0.759 0.759 0.251
0.241 0.241 0.749
0.665 0.335 0.000
0.335 0.665 0.000
0.500 0.500 0.500
0.171 0.829 0.500
0.829 0.171 0.500
0.000 0.000 0.000

***

Record 4
CeTiTe2 PBE relaxed; M_tot = 2.2 μB per cell; crystal system = trigonal; space group = R-3m (166); DFT total energy = -5.480 eV/atom; E_form (uncorrected) = -0.45 eV/atom; N(E_F) = 8.98 states/eV per cell; calculated density = 6.2 g/cm³
1.0
3.727 0.000 0.000
1.863 3.227 0.000
1.863 1.076 9.919
Te Ce Ti
2 1 1
Direct
0.108 0.108 0.677
0.892 0.892 0.323
0.000 0.000 0.000
0.500 0.500 0.500

***

Record 5
CeTiTe PBE relaxed; M_tot = 2.0 μB per cell; crystal system = monoclinic; space group = C2/m (12); DFT total energy = -6.253 eV/atom; E_form (uncorrected) = -0.60 eV/atom; N(E_F) = 12.48 states/eV per cell; calculated density = 7.0 g/cm³
1.0
-1.118 3.289 -1.691
-4.534 -2.082 3.364
-1.112 3.248 7.053
Ti Ce Te
2 2 2
Direct
0.640 0.279 0.455
0.360 0.721 0.545
0.062 0.125 0.180
0.938 0.875 0.820
0.675 0.350 0.790
0.325 0.650 0.210

***

Record 6
Ce2TlTe4 PBE relaxed; M_tot = 2.0 μB per cell; crystal system = tetragonal; space group = I4_1/amd (141); DFT total energy = -4.872 eV/atom; E_form (uncorrected) = -1.04 eV/atom; N(E_F) = 15.23 states/eV per cell; calculated density = 5.5 g/cm³
1.0
-1.536 8.734 3.248
-6.490 -4.200 -5.425
1.461 -3.079 8.807
Ce Te Tl
4 8 2
Direct
0.374 0.249 0.625
0.875 0.251 0.626
0.375 0.749 0.624
0.376 0.751 0.125
0.580 0.719 0.860
0.608 0.220 0.390
0.170 0.780 0.389
0.142 0.281 0.861
0.610 0.219 0.830
0.140 0.720 0.858
0.611 0.781 0.392
0.139 0.280 0.420
0.750 0.500 0.250
0.000 0.000 0.000

***

Record 7
Ce6TlTe5 PBE relaxed; M_tot = 6.7 μB per cell; crystal system = monoclinic; space group = C2/m (12); DFT total energy = -5.631 eV/atom; E_form (uncorrected) = -1.16 eV/atom; N(E_F) = 42.59 states/eV per cell; calculated density = 7.2 g/cm³
1.0
-0.417 -0.062 -7.737
-6.984 -2.730 -2.234
-5.982 4.936 -1.033
Te Ce Tl
5 6 1
Direct
0.500 0.832 0.335
0.000 0.334 0.333
0.500 0.500 0.000
0.000 0.666 0.667
0.500 0.168 0.665
0.751 0.416 0.667
0.751 0.083 0.333
0.249 0.917 0.667
0.749 0.750 0.000
0.251 0.250 0.000
0.249 0.584 0.333
0.000 0.000 0.000

***

Record 8
CeTl5Te5 PBE relaxed; M_tot = 0.0 μB per cell; crystal system = monoclinic; space group = C2/m (12); DFT total energy = -3.531 eV/atom; E_form (uncorrected) = -0.49 eV/atom; N(E_F) = 5.96 states/eV per cell; calculated density = 6.7 g/cm³
1.0
-1.916 4.174 4.508
-5.807 -5.708 -1.775
6.161 -3.919 6.246
Te Tl Ce
5 5 1
Direct
0.500 0.000 0.000
0.850 0.699 0.692
0.149 0.299 0.846
0.851 0.701 0.154
0.150 0.301 0.308
0.687 0.375 0.315
0.679 0.358 0.848
0.321 0.642 0.152
0.000 0.000 0.500
0.313 0.625 0.685
0.000 0.000 0.000

***

Record 9
CeTl5Te4 PBE relaxed; M_tot = 0.8 μB per cell; crystal system = monoclinic; space group = C2/m (12); DFT total energy = -3.594 eV/atom; E_form (uncorrected) = -0.56 eV/atom; N(E_F) = 5.74 states/eV per cell; calculated density = 7.3 g/cm³
1.0
-1.532 1.612 4.141
-8.558 -1.338 -2.646
5.637 -8.380 2.680
Te Ce Tl
4 1 5
Direct
0.042 0.271 0.084
0.335 0.947 0.669
0.958 0.729 0.916
0.665 0.053 0.331
0.500 0.000 0.000
0.210 0.330 0.419
0.500 0.500 0.000
0.856 0.216 0.712
0.144 0.784 0.288
0.790 0.670 0.581

***

Record 10
Ce4TlTe3 PBE relaxed; M_tot = 8.3 μB per cell; crystal system = monoclinic; space group = P2/c (13); DFT total energy = -5.486 eV/atom; E_form (uncorrected) = -1.05 eV/atom; N(E_F) = 55.96 states/eV per cell; calculated density = 7.4 g/cm³
1.0
7.777 0.065 0.000
-2.661 7.359 0.000
0.000 0.000 8.999
Tl Te Ce
2 6 8
Direct
0.750 0.000 0.873
0.250 0.000 0.127
0.750 0.500 0.625
0.250 0.500 0.875
0.250 0.000 0.625
0.750 0.000 0.375
0.250 0.500 0.375
0.750 0.500 0.125
0.001 0.250 0.624
0.501 0.250 0.376
0.499 0.750 0.624
0.501 0.750 0.125
0.499 0.250 0.875
0.999 0.750 0.376
0.999 0.250 0.125
0.001 0.750 0.875

***

Record 11
CeTlTe4 PBE relaxed; M_tot = 2.1 μB per cell; crystal system = tetragonal; space group = P4/nbm (125); DFT total energy = -4.165 eV/atom; E_form (uncorrected) = -0.69 eV/atom; N(E_F) = 14.08 states/eV per cell; calculated density = 6.8 g/cm³
1.0
-1.248 6.717 -1.028
-5.291 -0.304 4.433
5.429 2.022 6.619
Te Tl Ce
8 2 2
Direct
0.854 0.646 0.782
0.646 0.854 0.218
0.354 0.854 0.782
0.646 0.146 0.782
0.354 0.146 0.218
0.146 0.646 0.218
0.854 0.354 0.218
0.146 0.354 0.782
0.500 0.500 0.500
0.000 0.000 0.500
0.500 0.500 0.000
0.000 0.000 0.000

***

Record 12
Ce3Tl4Te8 PBE relaxed; M_tot = 0.6 μB per cell; crystal system = trigonal; space group = R-3m (166); DFT total energy = -4.303 eV/atom; E_form (uncorrected) = -0.81 eV/atom; N(E_F) = 12.32 states/eV per cell; calculated density = 6.0 g/cm³
1.0
-5.262 -6.162 -4.330
3.888 -6.659 -4.995
-0.231 -9.310 3.783
Ce Te Tl
3 8 4
Direct
0.000 0.000 0.500
0.500 0.000 0.500
0.000 0.500 0.500
0.791 0.250 0.708
0.750 0.750 0.292
0.250 0.250 0.708
0.750 0.209 0.292
0.250 0.791 0.708
0.209 0.750 0.292
0.769 0.769 0.693
0.231 0.231 0.307
0.500 0.500 0.500
0.637 0.637 0.088
0.000 0.000 0.000
0.363 0.363 0.912

***

Record 13
Ce5TlTe4 PBE relaxed; M_tot = 5.4 μB per cell; crystal system = tetragonal; space group = I4 (79); DFT total energy = -5.580 eV/atom; E_form (uncorrected) = -1.12 eV/atom; N(E_F) = 34.93 states/eV per cell; calculated density = 7.3 g/cm³
1.0
-6.193 -0.419 -1.401
-1.916 -6.362 -4.079
-4.228 -3.758 5.365
Te Ce Tl
4 5 1
Direct
0.600 0.600 0.201
0.401 0.400 0.799
0.200 0.201 0.400
0.801 0.799 0.600
0.700 0.200 0.402
0.302 0.800 0.598
0.502 0.000 0.000
0.102 0.598 0.200
0.900 0.402 0.800
0.002 0.000 0.000

***

Record 14
CeTm2Tl3Te6 PBE relaxed; M_tot = 1.0 μB per cell; crystal system = monoclinic; space group = C2/m (12); DFT total energy = -4.417 eV/atom; E_form (uncorrected) = -1.01 eV/atom; N(E_F) = 8.52 states/eV per cell; calculated density = 7.2 g/cm³
1.0
7.749 0.000 0.000
-3.872 6.712 0.000
-1.293 -2.239 8.187
Te Tl Tm Ce
6 3 2 1
Direct
0.584 0.929 0.786
0.071 0.416 0.214
0.416 0.071 0.214
0.726 0.726 0.211
0.274 0.274 0.789
0.929 0.584 0.786
0.164 0.836 0.500
0.500 0.500 0.500
0.836 0.164 0.500
0.667 0.333 0.000
0.333 0.667 0.000
0.000 0.000 0.000

***

Record 15
CeU2Tl3Te6 PBE relaxed; M_tot = 7.0 μB per cell; crystal system = monoclinic; space group = C2/m (12); DFT total energy = -5.219 eV/atom; E_form (uncorrected) = -0.68 eV/atom; N(E_F) = 19.11 states/eV per cell; calculated density = 7.7 g/cm³
1.0
-2.728 -6.295 3.613
7.305 0.118 -2.599
1.012 5.133 6.933
Te Ce Tl U
6 1 3 2
Direct
0.413 0.073 0.218
0.732 0.732 0.216
0.073 0.413 0.218
0.587 0.927 0.782
0.927 0.587 0.782
0.268 0.268 0.784
0.000 0.000 0.000
0.500 0.500 0.500
0.835 0.165 0.500
0.165 0.835 0.500
0.333 0.667 0.000
0.667 0.333 0.000

***

Record 16
CeTm3Te4 PBE relaxed; M_tot = 1.2 μB per cell; E above lowest polymorph = 3 meV per atom; crystal system = orthorhombic; space group = Cmmm (65); DFT total energy = -5.210 eV/atom; E_form (uncorrected) = -1.22 eV/atom; N(E_F) = 9.90 states/eV per cell; calculated density = 8.3 g/cm³
1.0
-0.587 1.552 3.952
4.921 -5.065 2.720
3.784 6.271 -1.900
Te Tm Ce
4 3 1
Direct
0.500 0.745 0.255
0.000 0.740 0.740
0.000 0.260 0.260
0.500 0.255 0.745
0.000 0.000 0.500
0.500 0.500 0.500
0.000 0.500 0.000
0.500 0.000 0.000

***

Record 17
Ce2TmTe4 PBE relaxed; M_tot = 5.1 μB per cell; E above lowest polymorph = 62 meV per atom; crystal system = orthorhombic; space group = Cmcm (63); DFT total energy = -5.399 eV/atom; E_form (uncorrected) = -1.27 eV/atom; N(E_F) = 30.35 states/eV per cell; calculated density = 6.6 g/cm³
1.0
4.251 0.000 0.000
-2.125 7.383 0.000
0.000 0.000 15.313
Tm Ce Te
2 4 8
Direct
0.624 0.249 0.750
0.376 0.751 0.250
0.136 0.271 0.070
0.864 0.729 0.930
0.136 0.271 0.430
0.864 0.729 0.570
0.026 0.052 0.250
0.215 0.430 0.628
0.785 0.570 0.128
0.500 0.000 0.000
0.974 0.948 0.750
0.785 0.570 0.372
0.215 0.430 0.872
0.500 0.000 0.500

***

Record 18
CeTmTe2 PBE relaxed; M_tot = 2.1 μB per cell; E above lowest polymorph = 156 meV per atom; crystal system = cubic; space group = Fm-3m (225); DFT total energy = -5.302 eV/atom; E_form (uncorrected) = -1.13 eV/atom; N(E_F) = 6.70 states/eV per cell; calculated density = 8.5 g/cm³
1.0
-4.572 -1.658 2.288
-2.562 -4.311 -1.933
-0.086 -4.568 2.830
Ce Tm Te
1 1 2
Direct
0.000 0.000 0.000
0.500 0.500 0.500
0.750 0.750 0.750
0.250 0.250 0.250

***

Record 19
Ce2TmTe4 PBE relaxed; M_tot = 0.4 μB per cell; E above lowest polymorph = 0 meV per atom; crystal system = orthorhombic; space group = Imma (74); DFT total energy = -5.461 eV/atom; E_form (uncorrected) = -1.33 eV/atom; N(E_F) = 31.61 states/eV per cell; calculated density = 6.6 g/cm³
1.0
7.627 0.000 4.396
2.616 7.207 4.275
0.020 0.022 8.779
Te Tm Ce
8 2 4
Direct
0.748 0.745 0.245
0.262 0.745 0.245
0.739 0.751 0.771
0.739 0.271 0.251
0.261 0.729 0.749
0.738 0.255 0.755
0.261 0.249 0.229
0.252 0.255 0.755
0.000 0.500 0.000
0.500 0.500 0.000
0.500 0.000 0.500
0.000 0.000 0.500
0.000 0.000 0.000
0.000 0.500 0.500

***

Record 20
Ce2TmTe3 PBE relaxed; M_tot = 4.8 μB per cell; E above lowest polymorph = 0 meV per atom; crystal system = monoclinic; space group = C2/m (12); DFT total energy = -5.605 eV/atom; E_form (uncorrected) = -1.31 eV/atom; N(E_F) = 29.06 states/eV per cell; calculated density = 7.5 g/cm³
1.0
-2.139 1.035 7.251
-7.557 -1.444 0.659
0.257 -5.830 4.923
Tm Te Ce
2 6 4
Direct
0.668 0.000 0.663
0.332 0.000 0.337
0.734 0.766 0.000
0.266 0.234 0.000
0.081 0.758 0.343
0.919 0.242 0.657
0.424 0.758 0.657
0.576 0.242 0.343
0.000 0.000 0.000
0.500 0.500 0.000
0.840 0.500 0.321
0.160 0.500 0.679

***

Record 21
CeTmTe2 PBE relaxed; M_tot = 2.0 μB per cell; E above lowest polymorph = 134 meV per atom; crystal system = tetragonal; space group = P4/mmm (123); DFT total energy = -5.325 eV/atom; E_form (uncorrected) = -1.15 eV/atom; N(E_F) = 6.75 states/eV per cell; calculated density = 8.5 g/cm³
1.0
-0.468 3.365 -1.741
-3.250 1.595 3.957
4.216 1.967 2.669
Ce Te Tm
1 2 1
Direct
0.500 0.500 0.500
0.000 0.500 0.000
0.000 0.000 0.500
0.500 0.000 0.000